VASP calculation (PBE) on a geometry-optimized NaPdAuSCl structure.

Summary:
- relative energy among the computed polymorphs (eV/atom) = 0.000
- energy relative to the elements, uncorrected (eV per atom) = -0.61
- N(E_F) (states/eV/f.u.) = 2.32
- E (eV per atom) = -3.76
- total magnetization (μB per formula unit) = 0.00

a b c (Å): 8.401 8.401 8.401
angles (deg): 28.03 28.03 28.03
Fractional positions:
1 Na 0.000 0.000 0.000
2 Pd 0.236 0.236 0.236
3 Au 0.489 0.489 0.489
4 S 0.584 0.584 0.584
5 Cl 0.391 0.391 0.391



VASP calculation (PBE) on a geometry-optimized MnTcRu2 structure.

Summary:
- relative energy among the computed polymorphs (eV/atom) = 0.051
- N(E_F) (states/eV/f.u.) = 4.81
- E (eV per atom) = -9.41
- total magnetization (μB per formula unit) = 1.30
- energy of formation from the pure elements (meV/atom) = 115.0

a b c (Å): 8.823 8.823 8.823
angles (deg): 17.51 17.51 17.51
Fractional positions:
1 Mn 0.000 0.000 0.000
2 Tc 0.500 0.500 0.500
3 Ru 0.253 0.253 0.253
4 Ru 0.747 0.747 0.747



VASP calculation (PBE) on a geometry-optimized POsRu2 structure.

Summary:
- N(E_F) (states/eV/f.u.) = 3.90
- E (eV per atom) = -8.75
- total magnetization (μB per formula unit) = 0.00
- energy of formation from the pure elements (meV/atom) = 52.6

a b c (Å): 8.248 8.248 8.248
angles (deg): 19.45 19.45 19.45
Fractional positions:
1 P 0.000 0.000 0.000
2 Os 0.743 0.743 0.743
3 Ru 0.259 0.259 0.259
4 Ru 0.500 0.500 0.500



VASP calculation (PBE) on a geometry-optimized YTa2Cu structure.

Summary:
- relative energy among the computed polymorphs (eV/atom) = 0.515
- N(E_F) (states/eV/f.u.) = 2.08
- E (eV per atom) = -7.87
- total magnetization (μB per formula unit) = 0.00
- energy of formation from the pure elements (meV/atom) = 700.5

a b c (Å): 4.720 4.720 4.720
angles (deg): 60.00 60.00 60.00
Fractional positions:
1 Y 0.000 0.000 0.000
2 Ta 0.250 0.250 0.250
3 Ta 0.750 0.750 0.750
4 Cu 0.500 0.500 0.500



VASP calculation (PBE) on a geometry-optimized CsBaCd2 structure.

Summary:
- relative energy among the computed polymorphs (eV/atom) = 0.000
- N(E_F) (states/eV/f.u.) = 5.03
- E (eV per atom) = -1.27
- total magnetization (μB per formula unit) = 0.00
- energy of formation from the pure elements (meV/atom) = -121.2

a b c (Å): 4.378 4.378 9.281
angles (deg): 90.00 90.00 90.00
Fractional positions:
1 Cs 0.000 0.000 0.000
2 Ba 0.000 0.000 0.500
3 Cd 0.500 0.500 0.299
4 Cd 0.500 0.500 0.701



VASP calculation (PBE) on a geometry-optimized La8Er2Al structure.

Summary:
- N(E_F) (states/eV/f.u.) = 15.41
- E (eV per atom) = -4.79
- total magnetization (μB per formula unit) = 0.00
- energy of formation from the pure elements (meV/atom) = -32.8

a b c (Å): 9.585 9.585 8.180
angles (deg): 105.17 105.17 30.44
Fractional positions:
1 La 0.044 0.044 0.241
2 La 0.134 0.134 0.675
3 La 0.326 0.326 0.592
4 La 0.410 0.410 0.055
5 La 0.590 0.590 0.945
6 La 0.674 0.674 0.408
7 La 0.866 0.866 0.325
8 La 0.956 0.956 0.759
9 Er 0.227 0.227 0.134
10 Er 0.773 0.773 0.866
11 Al 0.500 0.500 0.500



VASP calculation (PBE) on a geometry-optimized Al2Rh2N structure.

Summary:
- relative energy among the computed polymorphs (eV/atom) = 0.412
- energy relative to the elements, uncorrected (eV per atom) = 0.65
- N(E_F) (states/eV/f.u.) = 5.38
- E (eV per atom) = -5.45
- total magnetization (μB per formula unit) = 0.00

a b c (Å): 6.531 6.531 6.531
angles (deg): 149.03 149.03 44.37
Fractional positions:
1 Al 0.250 0.750 0.500
2 Al 0.750 0.250 0.500
3 Rh 0.104 0.104 0.000
4 Rh 0.896 0.896 0.000
5 N 0.500 0.500 0.000



VASP calculation (PBE) on a geometry-optimized Li2PCl structure.

Summary:
- relative energy among the computed polymorphs (eV/atom) = 0.193
- energy relative to the elements, uncorrected (eV per atom) = -0.65
- N(E_F) (states/eV/f.u.) = 1.17
- E (eV per atom) = -3.42
- total magnetization (μB per formula unit) = 0.85

a b c (Å): 3.112 3.953 5.754
angles (deg): 90.00 90.00 90.00
Fractional positions:
1 Li 0.000 0.000 0.000
2 Li 0.500 0.500 0.500
3 P 0.000 0.000 0.500
4 Cl 0.500 0.500 0.000



Question: Which formula does entry 8 have?
Answer: Li2PCl



Repeat the fifth record exactly.
VASP calculation (PBE) on a geometry-optimized CsBaCd2 structure.

Summary:
- relative energy among the computed polymorphs (eV/atom) = 0.000
- N(E_F) (states/eV/f.u.) = 5.03
- E (eV per atom) = -1.27
- total magnetization (μB per formula unit) = 0.00
- energy of formation from the pure elements (meV/atom) = -121.2

a b c (Å): 4.378 4.378 9.281
angles (deg): 90.00 90.00 90.00
Fractional positions:
1 Cs 0.000 0.000 0.000
2 Ba 0.000 0.000 0.500
3 Cd 0.500 0.500 0.299
4 Cd 0.500 0.500 0.701